[1]
This record from Alexandria describes an optimized crystal structure of Li2TbAlSn2. The functional is PBE.

Lattice parameters (Å, degrees): 4.436 8.455 7.372 90.00 90.00 90.00
Positions (direct):
Li 0.000 0.080 0.000
Li 0.000 0.920 0.500
Li 0.500 0.165 0.330
Li 0.500 0.835 0.830
Tb 0.500 0.447 0.963
Tb 0.500 0.553 0.463
Al 0.000 0.323 0.637
Al 0.000 0.677 0.137
Sn 0.000 0.353 0.249
Sn 0.000 0.647 0.749
Sn 0.500 0.147 0.716
Sn 0.500 0.853 0.216

Values from the calculation:
For the formation energy, the calculation gives -0.44 eV/atom. The value obtained for the total energy is -45.7 eV for the cell shown.



[2]
This record from Alexandria describes an optimized crystal structure of Cu2SiSnSb. The functional is PBE.

Lattice parameters (Å, degrees): 4.508 4.508 5.428 90.00 90.00 90.00
Positions (direct):
Cu 0.000 0.500 0.000
Cu 0.500 0.000 0.000
Si 0.000 0.000 0.000
Sn 0.000 0.000 0.500
Sb 0.500 0.500 0.500

Values from the calculation:
As for the formation energy from raw total energies: 472 meV/atom. The value obtained for the total energy is -19.4 eV for the cell shown.



[3]
This record from Alexandria describes an optimized crystal structure of NiW7. The functional is PBE.

Lattice parameters (Å, degrees): 5.636 5.636 5.636 60.00 60.00 60.00
Positions (direct):
Ni 0.000 0.000 0.000
W 0.000 0.000 0.500
W 0.000 0.500 0.000
W 0.000 0.500 0.500
W 0.500 0.000 0.000
W 0.500 0.000 0.500
W 0.500 0.500 0.000
W 0.500 0.500 0.500

Values from the calculation:
For the formation energy, the calculation gives 0.35 eV/atom. The value obtained for the total energy is -93.7 eV for the cell shown.



[4]
This record from Alexandria describes an optimized crystal structure of In2PRh. The functional is PBE.

Lattice parameters (Å, degrees): 5.285 5.285 5.285 134.43 134.43 66.41
Positions (direct):
In 0.000 0.000 0.000
In 0.750 0.250 0.500
P 0.250 0.750 0.500
Rh 0.500 0.500 0.000

Values from the calculation:
For the formation energy, the calculation gives 0.13 eV/atom. The value obtained for the total energy is -17.7 eV for the cell shown.



Q: Number 2 is which compound?
A: Cu2SiSnSb